1.
## La2Mo2Pd (PBE-GGA)

Data for La2Mo2Pd after structural relaxation.

The space group is I4/mmm (No. 139) and the conventional cell measures 3.658, 3.658 and 18.111 Å, with angles of 90.00, 90.00 and 90.00 degrees. The inequivalent atoms are La at (0.000, 0.000, 0.102), Mo at (0.000, 0.500, 0.250) and Pd at (0.000, 0.000, 0.500).

Its mass density is 7.9 Mg/m³. Its crystal system is tetragonal. The calculation puts the formation energy at 0.0723 eV/atom. Its energy relative to the lowest polymorph listed for this composition is 0.00 eV per formula unit.

---

2.
## LaMoPd3 (PBE-GGA)

Data for LaMoPd3 after structural relaxation.

The space group is Pm-3m (No. 221) and the conventional cell measures 4.879, 4.879 and 4.879 Å, with angles of 90.00, 90.00 and 90.00 degrees. The inequivalent atoms are La at (0.000, 0.000, 0.000), Mo at (0.500, 0.500, 0.500) and Pd at (0.000, 0.500, 0.500).

Its mass density is 7.9 Mg/m³. Its crystal system is cubic. The calculation puts the formation energy at 0.2218 eV/atom. Its energy relative to the lowest polymorph listed for this composition is 0.00 eV per formula unit.

---

3.
## RbLaMoPd (PBE-GGA)

Data for RbLaMoPd after structural relaxation.

The space group is P1 (No. 1) and the conventional cell measures 3.415, 3.429 and 9.903 Å, with angles of 91.81, 90.80 and 92.98 degrees. The inequivalent atoms are Rb at (0.000, 0.000, 0.000), La at (0.361, 0.392, 0.588), Mo at (0.015, 0.036, 0.387) and Pd at (0.509, 0.524, 0.262).

Its mass density is 6.1 Mg/m³. Its crystal system is triclinic. The calculation puts the formation energy at 0.4320 eV/atom. Its energy relative to the lowest polymorph listed for this composition is 0.00 eV per formula unit.

---

Which of these has the lowest mass density? RbLaMoPd

---

What did the first record say?
## La2Mo2Pd (PBE-GGA)

Data for La2Mo2Pd after structural relaxation.

The space group is I4/mmm (No. 139) and the conventional cell measures 3.658, 3.658 and 18.111 Å, with angles of 90.00, 90.00 and 90.00 degrees. The inequivalent atoms are La at (0.000, 0.000, 0.102), Mo at (0.000, 0.500, 0.250) and Pd at (0.000, 0.000, 0.500).

Its mass density is 7.9 Mg/m³. Its crystal system is tetragonal. The calculation puts the formation energy at 0.0723 eV/atom. Its energy relative to the lowest polymorph listed for this composition is 0.00 eV per formula unit.